No. 1
VASP calculation (GGA-PBE) on a geometry-optimized UCuSi structure.

Values from the calculation:
The total magnetization comes out at 11.9 μB/cell. The value obtained for the mass density is 8.98 g/cm3. The energy comes out at -77.94 eV per cell.

a b c (Å): 6.2472 6.2472 6.2472
angles (deg): 90.00 90.00 90.00
With the nearest neighbours (Å) after each atom.
Space group F-43m (No. 216)
Asymmetric unit:
1 U 0.0000 0.0000 0.0000 x4  4 Si 2.71
2 Cu 0.0000 0.0000 0.5000 x4  4 Si 2.71
3 Si 0.2500 0.2500 0.7500 x4  4 U 2.71, 4 Cu 2.71

No. 2
VASP calculation (GGA-PBE) on a geometry-optimized CuSi2W structure.

Values from the calculation:
The total magnetization comes out at 0.0 μB/cell. The value obtained for the mass density is 9.10 g/cm3. The energy comes out at -101.21 eV per cell.

a b c (Å): 6.0516 6.0516 6.0516
angles (deg): 90.00 90.00 90.00
With the nearest neighbours (Å) after each atom.
Space group F-43m (No. 216)
Asymmetric unit:
1 Cu 0.0000 0.0000 0.0000 x4  4 W 2.62, 4 Si 2.62
2 Si 0.0000 0.0000 0.5000 x4  4 W 2.62, 4 Si 2.62
3 Si 0.2500 0.2500 0.2500 x4  4 Cu 2.62, 4 Si 2.62
4 W 0.2500 0.2500 0.7500 x4  4 Cu 2.62, 4 Si 2.62

No. 3
VASP calculation (GGA-PBE) on a geometry-optimized CuSi5W3 structure.

Values from the calculation:
The total magnetization comes out at 0.0 μB/cell. The value obtained for the mass density is 7.92 g/cm3. The energy comes out at -66.24 eV per cell.

a b c (Å): 5.3610 5.3610 6.3669
angles (deg): 90.00 90.00 120.00
With the nearest neighbours (Å) after each atom.
Space group P6/mmm (No. 191)
Asymmetric unit:
1 Cu 0.0000 0.0000 0.0000 x1  14 Si 3.18-3.30
2 Si 0.0000 0.0000 0.5000 x1  6 W 2.68
3 Si 0.3333 0.6667 0.1801 x4  1 Si 2.29, 3 W 2.56
4 W 0.0000 0.5000 0.5000 x3  6 Si 2.56-2.68, 4 W 2.68

No. 4
VASP calculation (GGA-PBE) on a geometry-optimized YCuSiW structure.

Values from the calculation:
Its relative energy among the computed polymorphs is 343 meV/atom. The total magnetization comes out at 6.0 μB/cell. The value obtained for the mass density is 8.55 g/cm3. The energy comes out at -101.68 eV per cell.

a b c (Å): 6.5671 6.5671 6.5671
angles (deg): 90.00 90.00 90.00
With the nearest neighbours (Å) after each atom.
Space group F-43m (No. 216)
Asymmetric unit:
1 Y 0.0000 0.0000 0.0000 x4  4 W 2.84, 4 Si 2.84
2 Cu 0.0000 0.0000 0.5000 x4  4 Si 2.84, 4 W 2.84
3 Si 0.2500 0.2500 0.2500 x4  4 Cu 2.84, 4 Y 2.84
4 W 0.2500 0.2500 0.7500 x4  4 Cu 2.84, 4 Y 2.84

No. 5
VASP calculation (GGA-PBE) on a geometry-optimized YCuSiW structure.

Values from the calculation:
Its relative energy among the computed polymorphs is 0 meV/atom. The total magnetization comes out at 0.0 μB/cell. The value obtained for the mass density is 9.05 g/cm3. The energy comes out at -107.17 eV per cell.

a b c (Å): 6.4427 6.4427 6.4427
angles (deg): 90.00 90.00 90.00
With the nearest neighbours (Å) after each atom.
Space group F-43m (No. 216)
Asymmetric unit:
1 Y 0.0000 0.0000 0.0000 x4  4 W 2.79, 4 Cu 2.79
2 Cu 0.2500 0.2500 0.7500 x4  4 Si 2.79, 4 Y 2.79
3 Si 0.0000 0.0000 0.5000 x4  4 W 2.79, 4 Cu 2.79
4 W 0.2500 0.2500 0.2500 x4  4 Si 2.79, 4 Y 2.79

No. 6
VASP calculation (GGA-PBE) on a geometry-optimized ZnCuSiW structure.

Values from the calculation:
Its relative energy among the computed polymorphs is 417 meV/atom. The total magnetization comes out at 4.0 μB/cell. The value obtained for the mass density is 10.03 g/cm3. The energy comes out at -81.56 eV per cell.

a b c (Å): 6.0883 6.0883 6.0883
angles (deg): 90.00 90.00 90.00
With the nearest neighbours (Å) after each atom.
Space group F-43m (No. 216)
Asymmetric unit:
1 Zn 0.0000 0.0000 0.0000 x4  4 W 2.64, 4 Si 2.64
2 Cu 0.0000 0.0000 0.5000 x4  4 W 2.64, 4 Si 2.64
3 Si 0.2500 0.2500 0.2500 x4  4 Cu 2.64, 4 Zn 2.64
4 W 0.2500 0.2500 0.7500 x4  4 Cu 2.64, 4 Zn 2.64

No. 7
VASP calculation (GGA-PBE) on a geometry-optimized ZnCuSiW structure.

Values from the calculation:
Its relative energy among the computed polymorphs is 0 meV/atom. The total magnetization comes out at 0.0 μB/cell. The value obtained for the mass density is 10.33 g/cm3. The energy comes out at -88.24 eV per cell.

a b c (Å): 6.0297 6.0297 6.0297
angles (deg): 90.00 90.00 90.00
With the nearest neighbours (Å) after each atom.
Space group F-43m (No. 216)
Asymmetric unit:
1 Zn 0.0000 0.0000 0.0000 x4  4 W 2.61, 4 Cu 2.61
2 Cu 0.2500 0.2500 0.7500 x4  4 Si 2.61, 4 Zn 2.61
3 Si 0.0000 0.0000 0.5000 x4  4 Cu 2.61, 4 W 2.61
4 W 0.2500 0.2500 0.2500 x4  4 Si 2.61, 4 Zn 2.61

No. 8
VASP calculation (GGA-PBE) on a geometry-optimized YCuSi structure.

Values from the calculation:
The total magnetization comes out at 0.0 μB/cell. The value obtained for the mass density is 5.37 g/cm3. The energy comes out at -35.30 eV per cell.

a b c (Å): 4.1352 4.1352 7.5390
angles (deg): 90.00 90.00 120.00
With the nearest neighbours (Å) after each atom.
Space group P6_3/mmc (No. 194)
Asymmetric unit:
1 Y 0.0000 0.0000 0.0000 x2  6 Cu 3.04, 6 Si 3.04
2 Cu 0.3333 0.6667 0.2500 x2  3 Si 2.39
3 Si 0.3333 0.6667 0.7500 x2  3 Cu 2.39

No. 9
VASP calculation (GGA-PBE) on a geometry-optimized YZrCuSi structure.

Values from the calculation:
Its relative energy among the computed polymorphs is 0 meV/atom. The total magnetization comes out at 2.3 μB/cell. The value obtained for the mass density is 6.01 g/cm3. The energy comes out at -92.91 eV per cell.

a b c (Å): 6.6983 6.6983 6.6983
angles (deg): 90.00 90.00 90.00
With the nearest neighbours (Å) after each atom.
Space group F-43m (No. 216)
Asymmetric unit:
1 Y 0.0000 0.0000 0.0000 x4  4 Zr 2.90, 4 Cu 2.90
2 Zr 0.2500 0.2500 0.2500 x4  4 Si 2.90, 4 Y 2.90
3 Cu 0.2500 0.2500 0.7500 x4  4 Si 2.90, 4 Y 2.90
4 Si 0.0000 0.0000 0.5000 x4  4 Zr 2.90, 4 Cu 2.90

No. 10
VASP calculation (GGA-PBE) on a geometry-optimized Y2ZrCu4Si4 structure.

Values from the calculation:
The total magnetization comes out at 0.0 μB/cell. The value obtained for the mass density is 5.95 g/cm3. The energy comes out at -129.49 eV per cell.

a b c (Å): 4.0956 6.4320 13.4558
angles (deg): 90.00 90.00 90.00
With the nearest neighbours (Å) after each atom.
Space group Immm (No. 71)
Asymmetric unit:
1 Y 0.0000 0.0000 0.1288 x4  6 Cu 2.91-2.99, 6 Si 2.96
2 Zr 0.0000 0.5000 0.0000 x2  6 Si 2.84-2.86
3 Cu 0.0000 0.1902 0.3314 x8  4 Si 2.39-2.55, 1 Cu 2.45
4 Si 0.0000 0.3051 0.5000 x4  2 Cu 2.39, 1 Si 2.51
5 Si 0.0000 0.5000 0.2126 x4  6 Cu 2.46-2.55

No. 11
VASP calculation (GGA-PBE) on a geometry-optimized ZrCuSi2 structure.

Values from the calculation:
The total magnetization comes out at 0.7 μB/cell. The value obtained for the mass density is 5.50 g/cm3. The energy comes out at -90.36 eV per cell.

a b c (Å): 6.3410 6.3410 6.3410
angles (deg): 90.00 90.00 90.00
With the nearest neighbours (Å) after each atom.
Space group F-43m (No. 216)
Asymmetric unit:
1 Zr 0.0000 0.0000 0.0000 x4  4 Si 2.75, 4 Cu 2.75
2 Cu 0.2500 0.2500 0.2500 x4  4 Zr 2.75, 4 Si 2.75
3 Si 0.0000 0.0000 0.5000 x4  4 Cu 2.75, 4 Si 2.75
4 Si 0.2500 0.2500 0.7500 x4  4 Si 2.75, 4 Zr 2.75

No. 12
VASP calculation (GGA-PBE) on a geometry-optimized Zr2Cu2Si structure.

Values from the calculation:
Its relative energy among the computed polymorphs is 0 meV/atom. The total magnetization comes out at 1.8 μB/cell. The value obtained for the mass density is 6.56 g/cm3. The energy comes out at -59.90 eV per cell.

a b c (Å): 3.4180 3.4180 14.6327
angles (deg): 90.00 90.00 90.00
With the nearest neighbours (Å) after each atom.
Space group I4/mmm (No. 139)
Asymmetric unit:
1 Zr 0.0000 0.0000 0.1015 x4  4 Cu 2.76, 4 Si 2.84, 1 Zr 2.97
2 Cu 0.0000 0.5000 0.2500 x4  4 Cu 2.42
3 Si 0.0000 0.0000 0.5000 x2  8 Zr 2.84